This record from Alexandria describes an optimized crystal structure of Mg4SnPd2. The functional is PBE.

Unit cell a=4.4137 b=4.4137 c=27.5280 alpha=90.00 beta=90.00 gamma=120.00
Space group R-3m (No. 166, hexagonal axes)
One atom of each set of equivalent atoms:
Mg1 0.0000 0.0000 0.1040 (multiplicity 6)
Mg2 0.0000 0.0000 0.3014 (multiplicity 6)
Sn1 0.0000 0.0000 0.5000 (multiplicity 3)
Pd1 0.0000 0.0000 0.4021 (multiplicity 6)

Values from the calculation:
As for the total energy: -3.32 eV per atom. The calculation puts the energy of formation at -355 meV per atom. As for the total magnetization: 0.00 μB/cell. The value obtained for the mass density is 4.6 g cm⁻³. The value obtained for the offset from the most stable computed form is 0 meV per atom.